Crystalline Pm5NdPb5 at its relaxed geometry. Source: the Alexandria database, functional PBE-GGA.

abc: 7.958 7.958 8.795
angles: 105.92 105.92 47.41
Atoms (fractional coordinates):
Pm 0.000 0.000 0.000
Pm 0.332 0.332 0.667
Pm 0.335 0.335 0.165
Pm 0.665 0.665 0.835
Pm 0.668 0.668 0.333
Nd 0.000 0.000 0.500
Pb 0.166 0.166 0.328
Pb 0.166 0.166 0.836
Pb 0.500 0.500 0.500
Pb 0.834 0.834 0.164
Pb 0.834 0.834 0.672

ΔE_f ... -0.328 eV/atom


Crystalline PmNd4Pb at its relaxed geometry. Source: the Alexandria database, functional PBE-GGA.

abc: 9.042 9.042 9.042
angles: 98.45 98.45 134.93
Atoms (fractional coordinates):
Pm 0.000 0.000 0.000
Pm 0.750 0.250 0.500
Nd 0.292 0.553 0.739
Nd 0.303 0.064 0.761
Nd 0.303 0.542 0.239
Nd 0.315 0.045 0.270
Nd 0.776 0.045 0.730
Nd 0.795 0.026 0.230
Nd 0.795 0.565 0.770
Nd 0.814 0.553 0.261
Pb 0.258 0.758 0.500
Pb 0.508 0.508 0.000

ΔE_f ... 0.337 eV/atom


Crystalline Pm3NdPb4 at its relaxed geometry. Source: the Alexandria database, functional PBE-GGA.

abc: 7.958 7.958 4.464
angles: 90.00 90.00 108.34
Atoms (fractional coordinates):
Pm 0.000 0.000 0.000
Pm 0.000 0.500 0.500
Pm 0.500 0.000 0.500
Nd 0.500 0.500 0.000
Pb 0.249 0.249 0.500
Pb 0.249 0.751 0.000
Pb 0.751 0.249 0.000
Pb 0.751 0.751 0.500

ΔE_f ... -0.407 eV/atom
Excess energy over the best structure of this formula in the dataset ... 0.0987 eV/atom


Copy entry 2 word for word.
Crystalline PmNd4Pb at its relaxed geometry. Source: the Alexandria database, functional PBE-GGA.

abc: 9.042 9.042 9.042
angles: 98.45 98.45 134.93
Atoms (fractional coordinates):
Pm 0.000 0.000 0.000
Pm 0.750 0.250 0.500
Nd 0.292 0.553 0.739
Nd 0.303 0.064 0.761
Nd 0.303 0.542 0.239
Nd 0.315 0.045 0.270
Nd 0.776 0.045 0.730
Nd 0.795 0.026 0.230
Nd 0.795 0.565 0.770
Nd 0.814 0.553 0.261
Pb 0.258 0.758 0.500
Pb 0.508 0.508 0.000

ΔE_f ... 0.337 eV/atom


> The lowest ΔE_f belongs to which entry?

Pm3NdPb4


Please write out number 3 again, unchanged.
Crystalline Pm3NdPb4 at its relaxed geometry. Source: the Alexandria database, functional PBE-GGA.

abc: 7.958 7.958 4.464
angles: 90.00 90.00 108.34
Atoms (fractional coordinates):
Pm 0.000 0.000 0.000
Pm 0.000 0.500 0.500
Pm 0.500 0.000 0.500
Nd 0.500 0.500 0.000
Pb 0.249 0.249 0.500
Pb 0.249 0.751 0.000
Pb 0.751 0.249 0.000
Pb 0.751 0.751 0.500

ΔE_f ... -0.407 eV/atom
Excess energy over the best structure of this formula in the dataset ... 0.0987 eV/atom


> The highest ΔE_f belongs to which entry?

PmNd4Pb